Record 1
A relaxed structure of NaLi2CdH. Source: Alexandria, functional PBE.

The volume is 17.20 A^3/atom. The energy is -1.98 eV/atom.

It has space group P4/mmm (No. 123), with a = 4.3062 Å, b = 4.3062 Å, c = 4.6370 Å, α = 90.00°, β = 90.00° and γ = 90.00°. The distinct sites, in fractional coordinates, are Na at (0.0000, 0.0000, 0.0000), Li at (0.0000, 0.5000, 0.5000), Cd at (0.5000, 0.5000, 0.0000) and H at (0.0000, 0.0000, 0.5000).


Record 2
A relaxed structure of ZnCo2Br. Source: Alexandria, functional PBE.

The volume is 17.49 A^3/atom. The energy is -3.90 eV/atom. As for the uncorrected formation energy: 385 meV/atom. Its energy above the most stable polymorph in this dataset is 0.1155 eV/atom.

It has space group Imm2 (No. 44), with a = 3.1197 Å, b = 4.0249 Å, c = 11.1408 Å, α = 90.00°, β = 90.00° and γ = 90.00°. The distinct sites, in fractional coordinates, are Zn at (0.0000, 0.0000, 0.0000), Co at (0.0000, 0.0000, 0.4793), Co at (0.0000, 0.5000, 0.1282) and Br at (0.0000, 0.5000, 0.7752).


Record 3
A relaxed structure of BaSc3Mn. Source: Alexandria, functional PBE.

The volume is 26.81 A^3/atom. The energy is -5.79 eV/atom. Its energy above the most stable polymorph in this dataset is 0.0000 eV/atom. As for the calculated formation energy: 0.223 eV per atom.

It has space group Pm-3m (No. 221), with a = 5.1181 Å, b = 5.1181 Å, c = 5.1181 Å, α = 90.00°, β = 90.00° and γ = 90.00°. The distinct sites, in fractional coordinates, are Ba at (0.0000, 0.0000, 0.0000), Sc at (0.0000, 0.5000, 0.5000) and Mn at (0.5000, 0.5000, 0.5000).


Record 4
A relaxed structure of DyMg2Pb2. Source: Alexandria, functional PBE.

The volume is 29.15 A^3/atom. The energy is -3.02 eV/atom. As for the calculated formation energy: 0.022 eV per atom.

It has space group P6_3/mmc (No. 194), with a = 5.1071 Å, b = 5.1071 Å, c = 12.9039 Å, α = 90.00°, β = 90.00° and γ = 120.00°. The distinct sites, in fractional coordinates, are Dy at (0.0000, 0.0000, 0.2500), Mg at (0.0000, 0.0000, 0.0000), Mg at (0.3333, 0.6667, 0.2500) and Pb at (0.3333, 0.6667, 0.6207).


Record 5
A relaxed structure of Sr3La. Source: Alexandria, functional PBE.

The volume is 48.85 A^3/atom. The energy is -2.35 eV/atom. Its energy above the most stable polymorph in this dataset is 0.0450 eV/atom. As for the calculated formation energy: 0.139 eV per atom.

It has space group Cmmm (No. 65), with a = 8.2021 Å, b = 11.8409 Å, c = 4.0239 Å, α = 90.00°, β = 90.00° and γ = 90.00°. The distinct sites, in fractional coordinates, are Sr at (0.0000, 0.0000, 0.0000), Sr at (0.2500, 0.2500, 0.5000) and La at (0.0000, 0.5000, 0.0000).


Record 6
A relaxed structure of TaHPd2Pt. Source: Alexandria, functional PBE.

The volume is 13.20 A^3/atom. The energy is -6.55 eV/atom.

It has space group P4/mmm (No. 123), with a = 3.9706 Å, b = 3.9706 Å, c = 4.1854 Å, α = 90.00°, β = 90.00° and γ = 90.00°. The distinct sites, in fractional coordinates, are Ta at (0.0000, 0.0000, 0.0000), H at (0.0000, 0.0000, 0.5000), Pd at (0.0000, 0.5000, 0.5000) and Pt at (0.5000, 0.5000, 0.0000).


Record 7
A relaxed structure of CsTl10Hg2. Source: Alexandria, functional PBE.

The volume is 32.66 A^3/atom. The energy is -1.96 eV/atom. As for the calculated formation energy: -0.028 eV per atom.

It has space group Fmmm (No. 69), with a = 6.4454 Å, b = 16.1409 Å, c = 16.3254 Å, α = 90.00°, β = 90.00° and γ = 90.00°. The distinct sites, in fractional coordinates, are Cs at (0.0000, 0.0000, 0.0000), Tl at (0.0000, 0.1102, 0.3948), Tl at (0.0000, 0.1807, 0.1788), Tl at (0.2500, 0.0000, 0.2500) and Hg at (0.2500, 0.2500, 0.0000).


Record 8
A relaxed structure of Y2FeBPb. Source: Alexandria, functional PBE.

The volume is 20.84 A^3/atom. The energy is -6.59 eV/atom. Its energy above the most stable polymorph in this dataset is 0.0000 eV/atom. As for the calculated formation energy: -0.238 eV per atom.

It has space group P4/mmm (No. 123), with a = 5.1405 Å, b = 5.1405 Å, c = 3.9436 Å, α = 90.00°, β = 90.00° and γ = 90.00°. The distinct sites, in fractional coordinates, are Y at (0.0000, 0.5000, 0.0000), Fe at (0.0000, 0.0000, 0.5000), B at (0.0000, 0.0000, 0.0000) and Pb at (0.5000, 0.5000, 0.5000).


Question: Which of these has the highest energy?
Answer: CsTl10Hg2


Question: The lowest volume belongs to which entry?
Answer: TaHPd2Pt